First-principles (SCAN) data for a crystal of La2ZnBr relaxed with PBEsol, as listed in Alexandria.

The calculation puts the final energy at -30.70 eV per atom. The energy relative to the lowest polymorph listed for this composition is 52.0 meV/atom. The formation energy (no corrections) is -899 meV per atom. For the calculated volume, the calculation gives 28.5 Å³/atom.

The structure belongs to space group C2/m (No. 12); the cell edges are 7.4596, 4.2983 and 7.5242 Å and the angles 90.00°, 109.22° and 90.00°. The asymmetric unit holds La at (0.2498, 0.0000, 0.2491), Zn at (0.0000, 0.5000, 0.0000) and Br at (0.0000, 0.0000, 0.5000).